Arrangement a

! LiPmB4 | the Open Quantum Materials Database | PBE | relaxed; values from VASP
! - V: 138.03 Å³ per cell
! - Space-group type: Immm (71)
&SYSTEM
  ibrav = 0, nat = 12, ntyp = 3
/
ATOMIC_SPECIES
Li 6.94 Li.upf
Pm 145.00 Pm.upf
B 10.81 B.upf
ATOMIC_POSITIONS crystal
Li 0.0000 0.0000 0.0000
Li 0.5000 0.5000 0.5000
Pm 0.0000 0.0000 0.5000
Pm 0.5000 0.5000 0.0000
B 0.0000 0.3242 0.2459
B 0.0000 0.3242 0.7541
B 0.0000 0.6758 0.2459
B 0.0000 0.6758 0.7541
B 0.5000 0.1758 0.2541
B 0.5000 0.1758 0.7459
B 0.5000 0.8242 0.2541
B 0.5000 0.8242 0.7459
CELL_PARAMETERS angstrom
3.1513 0.0000 0.0000
0.0000 5.4239 0.0000
0.0000 0.0000 8.0755


Arrangement b

! LiPmB4 | the Open Quantum Materials Database | PBE | relaxed; values from VASP
! - V: 58.37 Å³ per cell
! - Space-group type: P6/mmm (191)
&SYSTEM
  ibrav = 0, nat = 6, ntyp = 3
/
ATOMIC_SPECIES
Li 6.94 Li.upf
Pm 145.00 Pm.upf
B 10.81 B.upf
ATOMIC_POSITIONS crystal
Li 0.0000 0.0000 0.0000
Pm 0.0000 0.0000 0.5000
B 0.3333 0.6667 0.1838
B 0.3333 0.6667 0.8162
B 0.6667 0.3333 0.1838
B 0.6667 0.3333 0.8162
CELL_PARAMETERS angstrom
3.2536 0.0000 0.0000
-1.6268 2.8177 0.0000
0.0000 0.0000 6.3673


Least stable of them? arrangement b.


Arrangement a

! LiPrB | the Open Quantum Materials Database | PBE | relaxed; values from VASP
! - V: 235.38 Å³ per cell
! - Space-group type: F-43m (216)
&SYSTEM
  ibrav = 0, nat = 12, ntyp = 3
/
ATOMIC_SPECIES
Li 6.94 Li.upf
Pr 140.91 Pr.upf
B 10.81 B.upf
ATOMIC_POSITIONS crystal
Li 0.0000 0.0000 0.0000
Li 0.0000 0.5000 0.5000
Li 0.5000 0.0000 0.5000
Li 0.5000 0.5000 0.0000
Pr 0.0000 0.0000 0.5000
Pr 0.0000 0.5000 0.0000
Pr 0.5000 0.0000 0.0000
Pr 0.5000 0.5000 0.5000
B 0.2500 0.2500 0.2500
B 0.2500 0.7500 0.7500
B 0.7500 0.2500 0.7500
B 0.7500 0.7500 0.2500
CELL_PARAMETERS angstrom
6.1743 0.0000 0.0000
0.0000 6.1743 0.0000
0.0000 0.0000 6.1743


Arrangement b

! LiPrB | the Open Quantum Materials Database | PBE | relaxed; values from VASP
! - V: 219.11 Å³ per cell
! - Space-group type: F-43m (216)
&SYSTEM
  ibrav = 0, nat = 12, ntyp = 3
/
ATOMIC_SPECIES
Li 6.94 Li.upf
Pr 140.91 Pr.upf
B 10.81 B.upf
ATOMIC_POSITIONS crystal
Li 0.0000 0.0000 0.0000
Li 0.0000 0.5000 0.5000
Li 0.5000 0.0000 0.5000
Li 0.5000 0.5000 0.0000
Pr 0.2500 0.2500 0.2500
Pr 0.2500 0.7500 0.7500
Pr 0.7500 0.2500 0.7500
Pr 0.7500 0.7500 0.2500
B 0.2500 0.2500 0.7500
B 0.2500 0.7500 0.2500
B 0.7500 0.2500 0.2500
B 0.7500 0.7500 0.7500
CELL_PARAMETERS angstrom
6.0286 0.0000 0.0000
0.0000 6.0286 0.0000
0.0000 0.0000 6.0286


Least stable of them? arrangement b.


Arrangement a

! LiB2Pt2 | the Open Quantum Materials Database | PBE | relaxed; values from VASP
! - V: 118.58 Å³ per cell
! - Space-group type: I4/mmm (139)
&SYSTEM
  ibrav = 0, nat = 10, ntyp = 3
/
ATOMIC_SPECIES
Li 6.94 Li.upf
B 10.81 B.upf
Pt 195.08 Pt.upf
ATOMIC_POSITIONS crystal
Li 0.0000 0.0000 0.0000
Li 0.5000 0.5000 0.5000
B 0.0000 0.0000 0.3916
B 0.0000 0.0000 0.6084
B 0.5000 0.5000 0.1084
B 0.5000 0.5000 0.8916
Pt 0.0000 0.5000 0.2500
Pt 0.0000 0.5000 0.7500
Pt 0.5000 0.0000 0.2500
Pt 0.5000 0.0000 0.7500
CELL_PARAMETERS angstrom
3.8575 0.0000 0.0000
0.0000 3.8575 0.0000
0.0000 0.0000 7.9684


Arrangement b

! LiB2Pt2 | the Open Quantum Materials Database | PBE | relaxed; values from VASP
! - V: 115.66 Å³ per cell
! - Space-group type: I4/mmm (139)
&SYSTEM
  ibrav = 0, nat = 10, ntyp = 3
/
ATOMIC_SPECIES
Li 6.94 Li.upf
B 10.81 B.upf
Pt 195.08 Pt.upf
ATOMIC_POSITIONS crystal
Li 0.0000 0.0000 0.0000
Li 0.5000 0.5000 0.5000
B 0.0000 0.5000 0.2500
B 0.0000 0.5000 0.7500
B 0.5000 0.0000 0.2500
B 0.5000 0.0000 0.7500
Pt 0.0000 0.0000 0.3765
Pt 0.0000 0.0000 0.6235
Pt 0.5000 0.5000 0.1235
Pt 0.5000 0.5000 0.8765
CELL_PARAMETERS angstrom
3.1635 0.0000 0.0000
0.0000 3.1635 0.0000
0.0000 0.0000 11.5569


Least stable of them? arrangement b.


Arrangement a

! LiB4Pt | the Open Quantum Materials Database | PBE | relaxed; values from VASP
! - V: 55.84 Å³ per cell
! - Space-group type: P6/mmm (191)
&SYSTEM
  ibrav = 0, nat = 6, ntyp = 3
/
ATOMIC_SPECIES
Li 6.94 Li.upf
B 10.81 B.upf
Pt 195.08 Pt.upf
ATOMIC_POSITIONS crystal
Li 0.0000 0.0000 0.0000
B 0.3333 0.6667 0.2508
B 0.3333 0.6667 0.7492
B 0.6667 0.3333 0.2508
B 0.6667 0.3333 0.7492
Pt 0.0000 0.0000 0.5000
CELL_PARAMETERS angstrom
3.0313 0.0000 0.0000
-1.5156 2.6251 0.0000
0.0000 0.0000 7.0167


Arrangement b

! LiB4Pt | the Open Quantum Materials Database | PBE | relaxed; values from VASP
! - V: 106.07 Å³ per cell
! - Space-group type: Immm (71)
&SYSTEM
  ibrav = 0, nat = 12, ntyp = 3
/
ATOMIC_SPECIES
Li 6.94 Li.upf
B 10.81 B.upf
Pt 195.08 Pt.upf
ATOMIC_POSITIONS crystal
Li 0.0000 0.0000 0.0000
Li 0.5000 0.5000 0.5000
B 0.0000 0.3382 0.2637
B 0.0000 0.3382 0.7363
B 0.0000 0.6618 0.2637
B 0.0000 0.6618 0.7363
B 0.5000 0.1618 0.2363
B 0.5000 0.1618 0.7637
B 0.5000 0.8382 0.2363
B 0.5000 0.8382 0.7637
Pt 0.0000 0.0000 0.5000
Pt 0.5000 0.5000 0.0000
CELL_PARAMETERS angstrom
3.0084 0.0000 0.0000
0.0000 5.1843 0.0000
0.0000 0.0000 6.8007


Least stable of them? arrangement a.


Arrangement a

! LiReB4 | the Open Quantum Materials Database | PBE | relaxed; values from VASP
! - V: 97.66 Å³ per cell
! - Space-group type: Immm (71)
&SYSTEM
  ibrav = 0, nat = 12, ntyp = 3
/
ATOMIC_SPECIES
Li 6.94 Li.upf
Re 186.21 Re.upf
B 10.81 B.upf
ATOMIC_POSITIONS crystal
Li 0.0000 0.0000 0.0000
Li 0.5000 0.5000 0.5000
Re 0.0000 0.0000 0.5000
Re 0.5000 0.5000 0.0000
B 0.0000 0.3406 0.2576
B 0.0000 0.3406 0.7424
B 0.0000 0.6594 0.2576
B 0.0000 0.6594 0.7424
B 0.5000 0.1594 0.2424
B 0.5000 0.1594 0.7576
B 0.5000 0.8406 0.2424
B 0.5000 0.8406 0.7576
CELL_PARAMETERS angstrom
2.9836 0.0000 0.0000
0.0000 5.2317 0.0000
0.0000 0.0000 6.2566


Arrangement b

! LiReB4 | the Open Quantum Materials Database | PBE | relaxed; values from VASP
! - V: 225.79 Å³ per cell
! - Space-group type: Pbam (55)
&SYSTEM
  ibrav = 0, nat = 24, ntyp = 3
/
ATOMIC_SPECIES
Li 6.94 Li.upf
Re 186.21 Re.upf
B 10.81 B.upf
ATOMIC_POSITIONS crystal
Li 0.1167 0.1527 0.0000
Li 0.3833 0.6527 0.0000
Li 0.6167 0.3473 0.0000
Li 0.8833 0.8473 0.0000
Re 0.1316 0.4146 0.0000
Re 0.3684 0.9146 0.0000
Re 0.6316 0.0854 0.0000
Re 0.8684 0.5854 0.0000
B 0.0114 0.6996 0.5000
B 0.1220 0.5530 0.5000
B 0.1273 0.9682 0.5000
B 0.1988 0.8133 0.5000
B 0.3012 0.3133 0.5000
B 0.3727 0.4682 0.5000
B 0.3780 0.0530 0.5000
B 0.4886 0.1996 0.5000
B 0.5114 0.8004 0.5000
B 0.6220 0.9470 0.5000
B 0.6273 0.5318 0.5000
B 0.6988 0.6867 0.5000
B 0.8012 0.1867 0.5000
B 0.8727 0.0318 0.5000
B 0.8780 0.4470 0.5000
B 0.9886 0.3004 0.5000
CELL_PARAMETERS angstrom
5.9203 0.0000 0.0000
0.0000 11.3902 0.0000
0.0000 0.0000 3.3483


Least stable of them? arrangement b.


Arrangement a

! LiReTcB | the Open Quantum Materials Database | PBE | relaxed; values from VASP
! - V: 175.26 Å³ per cell
! - Space-group type: F-43m (216)
&SYSTEM
  ibrav = 0, nat = 16, ntyp = 4
/
ATOMIC_SPECIES
Li 6.94 Li.upf
Re 186.21 Re.upf
Tc 98.00 Tc.upf
B 10.81 B.upf
ATOMIC_POSITIONS crystal
Li 0.0000 0.0000 0.0000
Li 0.0000 0.5000 0.5000
Li 0.5000 0.0000 0.5000
Li 0.5000 0.5000 0.0000
Re 0.2500 0.2500 0.2500
Re 0.2500 0.7500 0.7500
Re 0.7500 0.2500 0.7500
Re 0.7500 0.7500 0.2500
Tc 0.2500 0.2500 0.7500
Tc 0.2500 0.7500 0.2500
Tc 0.7500 0.2500 0.2500
Tc 0.7500 0.7500 0.7500
B 0.0000 0.0000 0.5000
B 0.0000 0.5000 0.0000
B 0.5000 0.0000 0.0000
B 0.5000 0.5000 0.5000
CELL_PARAMETERS angstrom
5.5962 0.0000 0.0000
0.0000 5.5962 0.0000
0.0000 0.0000 5.5962


Arrangement b

! LiReTcB | the Open Quantum Materials Database | PBE | relaxed; values from VASP
! - V: 189.43 Å³ per cell
! - Space-group type: F-43m (216)
&SYSTEM
  ibrav = 0, nat = 16, ntyp = 4
/
ATOMIC_SPECIES
Li 6.94 Li.upf
Re 186.21 Re.upf
Tc 98.00 Tc.upf
B 10.81 B.upf
ATOMIC_POSITIONS crystal
Li 0.0000 0.0000 0.0000
Li 0.0000 0.5000 0.5000
Li 0.5000 0.0000 0.5000
Li 0.5000 0.5000 0.0000
Re 0.0000 0.0000 0.5000
Re 0.0000 0.5000 0.0000
Re 0.5000 0.0000 0.0000
Re 0.5000 0.5000 0.5000
Tc 0.2500 0.2500 0.7500
Tc 0.2500 0.7500 0.2500
Tc 0.7500 0.2500 0.2500
Tc 0.7500 0.7500 0.7500
B 0.2500 0.2500 0.2500
B 0.2500 0.7500 0.7500
B 0.7500 0.2500 0.7500
B 0.7500 0.7500 0.2500
CELL_PARAMETERS angstrom
5.7432 0.0000 0.0000
0.0000 5.7432 0.0000
0.0000 0.0000 5.7432


Least stable of them? arrangement a.